Density functional theory data (GGA-PBE) for crystalline Tm5AlS4 at its relaxed geometry.

Output
crystal system: monoclinic

a = 3.8292 Å, b = 6.8383 Å, c = 8.8401 Å
α = 75.92°, β = 77.49°, γ = 73.74°
Fractional coordinates of all 10 atoms:
1 Tm 0.6077 0.6807 0.1040
2 Tm 0.1988 0.9069 0.6955
3 Tm 0.0000 0.5000 0.5000
4 Tm 0.8012 0.0931 0.3045
5 Tm 0.3923 0.3193 0.8960
6 S 0.1989 0.3921 0.2100
7 S 0.8011 0.6079 0.7900
8 S 0.5999 0.2057 0.5945
9 S 0.4001 0.7943 0.4055
10 Al 0.0000 0.0000 0.0000

Density functional theory data (GGA-PBE) for crystalline Tm4AlS2 at its relaxed geometry.

Output
crystal system: orthorhombic

a = 3.8422 Å, b = 6.6919 Å, c = 13.2042 Å
α = 90.00°, β = 90.00°, γ = 106.68°
Fractional coordinates of all 14 atoms:
1 Tm 0.2304 0.4608 0.8799
2 Tm 0.2304 0.4608 0.6201
3 Tm 0.5000 0.0000 0.5000
4 Tm 0.7696 0.5392 0.3799
5 Tm 0.7696 0.5392 0.1201
6 Tm 0.0699 0.1397 0.2500
7 Tm 0.9301 0.8603 0.7500
8 Tm 0.5000 0.0000 0.0000
9 S 0.8643 0.7286 0.5581
10 S 0.1357 0.2714 0.0581
11 S 0.1357 0.2714 0.4419
12 S 0.8643 0.7286 0.9419
13 Al 0.6057 0.2113 0.7500
14 Al 0.3943 0.7887 0.2500

Formation energy without anion corrections (meV/atom)
-1574, -1232